Crystalline La2ZrCuW at its relaxed geometry, computed with PBE-GGA.

Output
As for the density of states at the Fermi level: 1.65 states/eV/atom. Its final energy is -30.4 eV per cell. The formation energy from the elements comes out at 1018 meV per atom.

Structure (POSCAR):
```
La2ZrCuW
1.0
-1.365 -0.062 5.348
4.619 -0.780 1.170
0.849 5.447 0.280
W Cu Zr La
1 1 1 2
Direct
0.000 0.000 0.000 W
0.000 0.500 0.000 Cu
0.500 0.500 0.500 Zr
0.500 0.000 0.000 La
0.000 0.000 0.500 La
```